This record from the Alexandria database describes crystalline SrCr3O at its relaxed geometry. The functional is PBE+U.

Cell: 4.6653 4.6653 4.6653 Å, 90.00 90.00 90.00°
Closest atoms and distances in Å follow each position.
Space group Pm-3m (No. 221)
Unique sites:
Sr1 0.0000 0.0000 0.0000 [1 per cell]  12 Cr 3.30
Cr1 0.0000 0.5000 0.5000 [3 per cell]  2 O 2.33
O1 0.5000 0.5000 0.5000 [1 per cell]  6 Cr 2.33

Output
Final energy in eV/atom: -5.726